{"formula": "Zn2InRe", "functional": "GGA-PBE", "state": "relaxed", "formation_energy_ev_per_atom": 0.389, "cell": [[2.8235, 0.0000, 0.0000], [0.0000, 2.8235, 0.0000], [0.0000, 0.0000, 8.7143]], "species": ["Zn", "Zn", "In", "Re"], "frac_coords": [[0.0000, 0.0000, 0.2147], [0.0000, 0.0000, 0.7853], [0.5000, 0.5000, 0.5000], [0.5000, 0.5000, 0.0000]]}

{"formula": "CdIn3F", "functional": "GGA-PBE", "state": "relaxed", "total_energy_ev_per_atom": -2.241, "cell": [[5.5626, 0.0000, 0.0000], [0.0000, 5.5626, 0.0000], [0.0000, 0.0000, 5.5626]], "species": ["Cd", "In", "In", "In", "F"], "frac_coords": [[0.0000, 0.0000, 0.0000], [0.0000, 0.0000, 0.5000], [0.0000, 0.5000, 0.0000], [0.5000, 0.0000, 0.0000], [0.5000, 0.5000, 0.5000]]}

{"formula": "Pa2ZnB", "functional": "GGA-PBE", "state": "relaxed", "formation_energy_ev_per_atom": 0.260, "cell": [[1.6562, 0.9562, 9.5190], [-1.6562, 0.9562, 9.5190], [0.0000, -1.9124, 9.5190]], "species": ["Pa", "Pa", "Zn", "B"], "frac_coords": [[0.1123, 0.1123, 0.1123], [0.8877, 0.8877, 0.8877], [0.0000, 0.0000, 0.0000], [0.5000, 0.5000, 0.5000]]}

no.,total magnetization (μB/cell)
1,0.00
2,0.00
3,0.43